## A
Material: ZrFeCl2
Method: DFT, PBE
State: relaxed

```
ZrFeCl2
1.0
4.243 0.000 0.000
0.000 4.243 0.000
0.000 0.000 3.683
Zr Fe Cl
1 1 2
Cartesian
0.000 0.000 0.000
2.121 2.121 0.000
0.000 2.121 1.842
2.121 0.000 1.842
```

Computed properties:
calculated volume: 66 Å³ per cell

=====

## B
Material: ZrFeCl2
Method: DFT, PBE
State: relaxed

```
ZrFeCl2
1.0
0.000 3.338 3.338
3.338 0.000 3.338
3.338 3.338 0.000
Zr Fe Cl
1 1 2
Cartesian
0.000 0.000 0.000
1.669 1.669 1.669
3.338 3.338 3.338
5.007 5.007 5.007
```

Computed properties:
calculated volume: 74 Å³ per cell

=====

## C
Material: ZrFeCl2
Method: DFT, PBE
State: relaxed

```
ZrFeCl2
1.0
3.201 0.000 0.000
0.000 3.201 0.000
0.000 0.000 8.076
Zr Fe Cl
1 1 2
Cartesian
0.000 0.000 0.000
1.601 1.601 6.323
0.000 0.000 5.249
1.601 1.601 1.747
```

Computed properties:
calculated volume: 83 Å³ per cell

=====

## D
Material: ZrFeCl2
Method: DFT, PBE
State: relaxed

```
ZrFeCl2
1.0
1.583 0.914 10.223
-1.583 0.914 10.223
0.000 -1.828 10.223
Zr Fe Cl
1 1 2
Cartesian
0.000 0.000 0.000
0.000 0.000 15.334
0.000 0.000 8.344
0.000 0.000 22.324
```

Computed properties:
calculated volume: 89 Å³ per cell

=====

Stability verdict: C, ahead by 231 meV per atom

=====

## A
Material: ZrFeCl2
Method: DFT, PBE
State: relaxed

```
ZrFeCl2
1.0
-1.854 1.854 5.089
1.854 -1.854 5.089
1.854 1.854 -5.089
Zr Fe Cl
1 1 2
Cartesian
0.000 0.000 0.000
0.000 1.854 2.545
1.854 0.000 2.545
0.000 0.000 5.089
```

Computed properties:
calculated volume: 70 Å³ per cell

=====

## B
Material: ZrFeCl2
Method: DFT, PBE
State: relaxed

```
ZrFeCl2
1.0
1.514 -3.020 0.000
1.514 3.020 0.000
0.000 0.000 8.336
Zr Fe Cl
1 1 2
Cartesian
0.000 0.000 0.000
0.000 0.000 4.168
1.514 0.000 2.198
1.514 0.000 6.138
```

Computed properties:
calculated volume: 76 Å³ per cell

=====

## C
Material: ZrFeCl2
Method: DFT, PBE
State: relaxed

```
ZrFeCl2
1.0
-2.748 2.748 5.135
2.748 -2.748 5.135
2.748 2.748 -5.135
Zr Fe Cl
2 2 4
Cartesian
0.000 0.000 0.000
0.000 2.748 2.568
2.748 0.000 2.568
0.000 0.000 5.135
1.374 -1.088 3.851
1.661 1.374 1.284
1.374 3.836 -1.284
1.088 1.374 6.419
```

Computed properties:
calculated volume: 155 Å³ per cell

=====

Stability verdict: B, ahead by 131 meV per atom

=====

## A
Material: ZrFeCl2
Method: DFT, PBE
State: relaxed

```
ZrFeCl2
1.0
0.000 3.132 3.132
3.132 0.000 3.132
3.132 3.132 0.000
Zr Fe Cl
1 1 2
Cartesian
0.000 0.000 0.000
3.132 3.132 3.132
1.566 1.566 1.566
4.699 4.699 4.699
```

Computed properties:
calculated volume: 61 Å³ per cell

=====

## B
Material: ZrFeCl2
Method: DFT, PBE
State: relaxed

```
ZrFeCl2
1.0
3.085 0.000 0.000
0.000 3.085 0.000
0.000 0.000 10.446
Zr Fe Cl
1 1 2
Cartesian
0.000 0.000 0.000
0.000 0.000 5.223
1.542 1.542 1.598
1.542 1.542 8.849
```

Computed properties:
calculated volume: 99 Å³ per cell

=====

Stability verdict: B, ahead by 351 meV per atom

=====

## A
Material: ZrFeCl2
Method: DFT, PBE
State: relaxed

```
ZrFeCl2
1.0
6.669 -1.636 0.000
6.669 1.636 0.000
-1.147 0.000 3.750
Zr Fe Cl
1 1 2
Cartesian
0.000 0.000 0.000
8.403 0.000 0.529
1.233 0.000 2.428
4.839 0.000 1.490
```

Computed properties:
calculated volume: 82 Å³ per cell

=====

## B
Material: ZrFeCl2
Method: DFT, PBE
State: relaxed

```
ZrFeCl2
1.0
4.524 0.000 0.000
0.000 3.185 0.000
-2.172 0.000 4.790
Zr Fe Cl
1 1 2
Cartesian
0.000 0.000 0.000
-1.086 1.593 2.395
1.176 0.000 2.395
2.262 1.593 0.000
```

Computed properties:
calculated volume: 69 Å³ per cell

=====

## C
Material: ZrFeCl2
Method: DFT, PBE
State: relaxed

```
ZrFeCl2
1.0
3.354 0.000 0.000
0.000 3.354 0.000
0.000 0.000 6.075
Zr Fe Cl
1 1 2
Cartesian
0.000 0.000 0.000
0.000 0.000 3.038
1.677 1.677 1.462
1.677 1.677 4.613
```

Computed properties:
calculated volume: 68 Å³ per cell

=====

## D
Material: ZrFeCl2
Method: DFT, PBE
State: relaxed

```
ZrFeCl2
1.0
7.008 -1.648 0.000
7.008 1.648 0.000
-0.070 0.000 4.100
Zr Fe Cl
1 1 2
Cartesian
0.000 0.000 0.000
6.974 0.000 2.050
5.049 0.000 3.185
8.898 0.000 0.915
```

Computed properties:
calculated volume: 95 Å³ per cell

=====

Stability verdict: D, ahead by 271 meV per atom

=====

## A
Material: ZrFeCl2
Method: DFT, PBE
State: relaxed

```
ZrFeCl2
1.0
-2.105 2.105 3.885
2.105 -2.105 3.885
2.105 2.105 -3.885
Zr Fe Cl
1 1 2
Cartesian
0.000 0.000 0.000
0.000 0.000 3.885
2.105 0.000 1.942
0.000 2.105 1.942
```

Computed properties:
calculated volume: 69 Å³ per cell

=====

## B
Material: ZrFeCl2
Method: DFT, PBE
State: relaxed

```
ZrFeCl2
1.0
1.603 0.925 8.448
-1.603 0.925 8.448
0.000 -1.851 8.448
Zr Fe Cl
1 1 2
Cartesian
0.000 0.000 0.000
0.000 0.000 12.671
0.000 0.000 10.345
0.000 0.000 14.998
```

Computed properties:
calculated volume: 75 Å³ per cell

=====

Stability verdict: B, ahead by 374 meV per atom

=====

## A
Material: Gd2GaCl
Method: DFT, PBE
State: relaxed

```
Gd2GaCl
1.0
2.092 1.208 6.736
-2.092 1.208 6.736
0.000 -2.415 6.736
Gd Ga Cl
2 1 1
Cartesian
0.000 0.000 4.979
0.000 0.000 15.228
0.000 0.000 10.103
0.000 0.000 0.000
```

Computed properties:
calculated volume: 102 Å³ per cell

=====

## B
Material: Gd2GaCl
Method: DFT, PBE
State: relaxed

```
Gd2GaCl
1.0
3.406 0.000 0.000
0.000 3.406 0.000
0.000 0.000 8.049
Gd Ga Cl
2 1 1
Cartesian
0.000 0.000 1.896
0.000 0.000 6.152
1.703 1.703 0.000
1.703 1.703 4.024
```

Computed properties:
calculated volume: 93 Å³ per cell

=====

Stability verdict: A, ahead by 37 meV per atom

=====

## A
Material: GaGeCl2
Method: DFT, PBE
State: relaxed

```
GaGeCl2
1.0
-2.446 2.446 8.736
2.446 -2.446 8.736
2.446 2.446 -8.736
Ga Ge Cl
2 2 4
Cartesian
0.000 0.000 0.000
0.000 2.446 4.368
2.446 0.000 4.368
0.000 0.000 8.736
1.223 -1.122 6.552
1.323 1.223 2.184
1.223 3.568 -2.184
1.122 1.223 10.920
```

Computed properties:
calculated volume: 209 Å³ per cell

=====

## B
Material: GaGeCl2
Method: DFT, PBE
State: relaxed

```
GaGeCl2
1.0
0.000 3.531 3.531
3.531 0.000 3.531
3.531 3.531 0.000
Ga Ge Cl
1 1 2
Cartesian
0.000 0.000 0.000
3.531 3.531 3.531
1.765 1.765 1.765
5.296 5.296 5.296
```

Computed properties:
calculated volume: 88 Å³ per cell

=====

Stability verdict: A, ahead by 13 meV per atom